Below is Sr2LaBr after structural relaxation, with properties calculated at the PBE level.

a b c (Å): 3.8417 3.8417 10.7803
angles (deg): 90.00 90.00 90.00
Positions (direct):
Sr (0.0000, 0.0000, 0.0000)
Sr (0.5000, 0.5000, 0.3050)
La (0.5000, 0.5000, 0.7134)
Br (0.0000, 0.0000, 0.5217)

formation energy from raw total energies = -2.0 eV/f.u.
crystal system = tetragonal
uncorrected energy = -2.99 eV per atom

=====

Below is Be2ZnAu5 after structural relaxation, with properties calculated at the PBE level.

a b c (Å): 7.1489 7.1489 7.1489
angles (deg): 123.70 123.70 83.70
Positions (direct):
Be (0.1388, 0.6388, 0.7776)
Be (0.3612, 0.1388, 0.5000)
Be (0.6388, 0.8612, 0.5000)
Be (0.8612, 0.3612, 0.2224)
Zn (0.2500, 0.2500, 0.0000)
Zn (0.7500, 0.7500, 0.0000)
Au (0.0000, 0.0000, 0.0000)
Au (0.0079, 0.2014, 0.5000)
Au (0.2014, 0.7014, 0.1935)
Au (0.2986, 0.4921, 0.5000)
Au (0.4921, 0.9921, 0.1935)
Au (0.5000, 0.5000, 0.0000)
Au (0.5079, 0.0079, 0.8065)
Au (0.7014, 0.5079, 0.5000)
Au (0.7986, 0.2986, 0.8065)
Au (0.9921, 0.7986, 0.5000)

crystal system = tetragonal
uncorrected energy = -3.26 eV per atom
energy of formation = -0.118 eV per atom

=====

Below is BeAlP2S after structural relaxation, with properties calculated at the PBE level.

a b c (Å): 4.1030 4.1030 4.7880
angles (deg): 90.00 90.00 90.00
Positions (direct):
Be (0.0000, 0.0000, 0.0000)
Al (0.5000, 0.5000, 0.5000)
P (0.0000, 0.5000, 0.0000)
P (0.5000, 0.0000, 0.0000)
S (0.0000, 0.0000, 0.5000)

formation energy from raw total energies = 2.7 eV/f.u.
crystal system = tetragonal
uncorrected energy = -3.93 eV per atom
polymorph energy (0 for the lowest one) = 0.00 eV/f.u.

=====

Below is TbGe2PdRu after structural relaxation, with properties calculated at the PBE level.

a b c (Å): 6.0087 6.0087 6.0087
angles (deg): 139.53 139.53 58.56
Positions (direct):
Tb (0.0000, 0.0000, 0.0000)
Ge (0.3793, 0.3793, 0.0000)
Ge (0.6207, 0.6207, 0.0000)
Pd (0.7500, 0.2500, 0.5000)
Ru (0.2500, 0.7500, 0.5000)

crystal system = tetragonal
uncorrected energy = -6.37 eV per atom
energy of formation = -0.707 eV per atom